Record 1
VASP calculation (PBE-GGA) on an optimized crystal structure of Ba2MgTl5.

Results
SG ... P4/mmm
Calculated formation energy ... -126 kJ/mol of formula units
Excess energy over the best structure of this formula in the dataset ... 62 meV per atom

Structure (POSCAR):
```
Ba2MgTl5
1.0
7.3063 0.0000 0.0000
0.0000 7.3063 0.0000
0.0000 0.0000 5.5179
Ba Mg Tl
2 1 5
direct
0.0000 0.5000 0.0000 Ba
0.5000 0.0000 0.0000 Ba
0.0000 0.0000 0.5000 Mg
0.0000 0.0000 0.0000 Tl
0.2903 0.2903 0.5000 Tl
0.2903 0.7097 0.5000 Tl
0.7097 0.2903 0.5000 Tl
0.7097 0.7097 0.5000 Tl
```

---

Record 2
VASP calculation (PBE-GGA) on an optimized crystal structure of BaSi2Au.

Results
SG ... P4/mmm
Raw formation energy ... -0.0351 eV/atom

Structure (POSCAR):
```
BaSi2Au
1.0
3.6792 0.0000 0.0000
0.0000 3.6792 0.0000
0.0000 0.0000 6.9328
Ba Si Au
1 2 1
direct
0.0000 0.0000 0.0000 Ba
0.5000 0.5000 0.3341 Si
0.5000 0.5000 0.6659 Si
0.0000 0.0000 0.5000 Au
```

---

Record 3
VASP calculation (PBE-GGA) on an optimized crystal structure of Li3CoSe.

Results
SG ... Pm-3m
Raw formation energy ... 0.2780 eV/atom
Excess energy over the best structure of this formula in the dataset ... 287 meV per atom

Structure (POSCAR):
```
Li3CoSe
1.0
4.5897 0.0000 0.0000
0.0000 4.5897 0.0000
0.0000 0.0000 4.5897
Li Co Se
3 1 1
direct
0.0000 0.0000 0.5000 Li
0.0000 0.5000 0.0000 Li
0.5000 0.0000 0.0000 Li
0.0000 0.0000 0.0000 Co
0.5000 0.5000 0.5000 Se
```

---

Record 4
VASP calculation (PBE-GGA) on an optimized crystal structure of Ca2MoAu.

Results
SG ... Fm-3m
Calculated formation energy ... 132 kJ/mol of formula units
Excess energy over the best structure of this formula in the dataset ... 143 meV per atom

Structure (POSCAR):
```
Ca2MoAu
1.0
0.0000 3.6482 3.6482
3.6482 0.0000 3.6482
3.6482 3.6482 0.0000
Ca Mo Au
2 1 1
direct
0.2500 0.2500 0.2500 Ca
0.7500 0.7500 0.7500 Ca
0.0000 0.0000 0.0000 Mo
0.5000 0.5000 0.5000 Au
```

---

Fermi-level density of states for every record listed, in sequence, given in states/eV/f.u.: 4.0 1.8 5.8 1.5.